An optimized crystal structure of Er5ZnSe4, computed with PBE.

Cell lengths 5.7325, 7.0331, 7.0331 Å; angles 80.44, 65.95, 65.95 degrees
Positions (direct):
Er 0.0993 0.6093 0.1942
Er 0.2935 0.8058 0.6093
Se 0.5970 0.6001 0.2079
Se 0.8049 0.7921 0.6001
Er 0.9028 0.3907 0.8058
Zn 0.0011 0.0000 0.0000
Se 0.1971 0.2079 0.3999
Se 0.4050 0.3999 0.7921
Er 0.7086 0.1942 0.3907
Er 0.5011 0.0000 0.0000

Space-group type ... I4/m
Calculated total energy ... -52.571 eV per cell
Uncorrected formation energy ... -1454 meV/atom

***

An optimized crystal structure of Er2ZnSe, computed with PBE.

Cell lengths 4.1498, 3.9887, 11.4109 Å; angles 100.07, 90.00, 90.00 degrees
Positions (direct):
Er 0.7500 0.9319 0.8639
Zn 0.7500 0.5393 0.0786
Se 0.7500 0.8057 0.6115
Er 0.7500 0.6784 0.3567
Zn 0.2500 0.4607 0.9214
Er 0.2500 0.0681 0.1361
Se 0.2500 0.1943 0.3885
Er 0.2500 0.3216 0.6433

Distance to the lowest polymorph of the same formula ... 0 meV/atom
Space-group type ... Cmcm
Calculated total energy ... -36.085 eV per cell
Uncorrected formation energy ... -1040 meV/atom

***

An optimized crystal structure of Er6ZnSe4, computed with PBE.

Cell lengths 3.9839, 6.8734, 20.5389 Å; angles 90.00, 90.00, 106.85 degrees
Positions (direct):
Se 0.8580 0.7161 0.5376
Zn 0.6672 0.3343 0.2500
Er 0.0566 0.1131 0.3326
Se 0.4166 0.8333 0.3753
Se 0.4166 0.8333 0.1247
Er 0.0566 0.1131 0.1674
Se 0.1420 0.2839 0.0376
Er 0.9434 0.8869 0.8326
Er 0.2282 0.4564 0.5948
Er 0.2282 0.4564 0.9052
Er 0.9434 0.8869 0.6674
Er 0.5000 0.0000 0.5000
Zn 0.3328 0.6657 0.7500
Er 0.3303 0.6606 0.2500
Se 0.1420 0.2839 0.4624
Er 0.7718 0.5436 0.4052
Er 0.6697 0.3394 0.7500
Se 0.8580 0.7161 0.9624
Er 0.5000 0.0000 0.0000
Se 0.5834 0.1667 0.6247
Er 0.7718 0.5436 0.0948
Se 0.5834 0.1667 0.8753

Space-group type ... Cmcm
Calculated total energy ... -113.827 eV per cell
Uncorrected formation energy ... -1302 meV/atom

***

An optimized crystal structure of ErZnSe3, computed with PBE.

Cell lengths 6.9406, 6.9406, 6.6036 Å; angles 90.00, 90.00, 120.00 degrees
Positions (direct):
Se 0.6533 0.0000 0.7572
Se 0.6533 0.6533 0.2428
Se 0.0000 0.6533 0.7572
Er 0.6667 0.3333 0.5000
Se 0.3467 0.0000 0.2428
Se 0.3467 0.3467 0.7572
Zn 0.0000 0.0000 0.7304
Se 0.0000 0.3467 0.2428
Er 0.3333 0.6667 0.5000
Zn 0.0000 0.0000 0.2696

Space-group type ... P-31m
Calculated total energy ... -41.898 eV per cell
Uncorrected formation energy ... -932 meV/atom

***

An optimized crystal structure of Er3ZnSe2, computed with PBE.

Cell lengths 3.9270, 5.7558, 7.1957 Å; angles 113.57, 105.84, 90.00 degrees
Positions (direct):
Se 0.6680 0.1680 0.3359
Er 0.0000 0.0000 0.0000
Er 0.3336 0.3336 0.6671
Se 0.3320 0.8320 0.6641
Er 0.6664 0.6664 0.3329
Zn 0.0000 0.5000 0.0000

Space-group type ... Immm
Calculated total energy ... -29.407 eV per cell
Uncorrected formation energy ... -1246 meV/atom

***

An optimized crystal structure of ErZnSe2, computed with PBE.

Cell lengths 4.0932, 4.0932, 8.4494 Å; angles 75.98, 75.98, 60.00 degrees
Positions (direct):
Er 0.5000 0.5000 0.5000
Se 0.8982 0.8982 0.3055
Se 0.1018 0.1018 0.6945
Zn 0.0000 0.0000 0.0000

Space-group type ... R-3m
Calculated total energy ... -16.850 eV per cell
Uncorrected formation energy ... -1011 meV/atom